Entry 1:
Below is a relaxed CsHgCl3 crystal, with properties calculated at the PBEsol level.

Unit cell a=5.2695 b=5.2695 c=5.2695 alpha=90.00 beta=90.00 gamma=90.00
With the nearest neighbours (Å) after each atom.
Space group Pm-3m (No. 221)
Unique sites:
Cs 0.0000 0.0000 0.0000 x1  12 Cl 3.73
Hg 0.5000 0.5000 0.5000 x1  6 Cl 2.63
Cl 0.0000 0.5000 0.5000 x3  2 Hg 2.63

Properties
**VASP energy**: -13.42 eV for the cell shown
**D(E_F)**: 0.85 states/eV/f.u.
**Volume**: 29.3 A^3/atom

Entry 2:
Below is a relaxed K3HfCl crystal, with properties calculated at the PBEsol level.

Unit cell a=5.9570 b=5.9570 c=5.9570 alpha=90.00 beta=90.00 gamma=90.00
With the nearest neighbours (Å) after each atom.
Space group Pm-3m (No. 221)
Unique sites:
K 0.0000 0.0000 0.5000 x3  2 Cl 2.98
Hf 0.5000 0.5000 0.5000 x1  12 K 4.21
Cl 0.0000 0.0000 0.0000 x1  6 K 2.98

Properties
**VASP energy**: -14.52 eV for the cell shown
**D(E_F)**: 10.17 states/eV/f.u.
**Volume**: 42.3 A^3/atom

Entry 3:
Below is a relaxed AlPbCl2 crystal, with properties calculated at the PBEsol level.

Unit cell a=3.4095 b=5.8547 c=9.0521 alpha=90.00 beta=90.00 gamma=90.00
With the nearest neighbours (Å) after each atom.
Space group Cmmm (No. 65)
Unique sites:
Al 0.0000 0.0000 0.0000 x2  4 Cl 2.64
Pb 0.0000 0.0000 0.5000 x2  4 Cl 3.04, 4 Pb 3.39
Cl 0.0000 0.5000 0.2224 x4  2 Al 2.64

Properties
**VASP energy**: -28.10 eV for the cell shown
**D(E_F)**: 0.98 states/eV/f.u.
**Volume**: 22.6 A^3/atom

Entry 4:
Below is a relaxed LiMgPt3 crystal, with properties calculated at the PBEsol level.

Unit cell a=4.2051 b=4.2051 c=4.2051 alpha=90.00 beta=90.00 gamma=90.00
With the nearest neighbours (Å) after each atom.
Space group Pm-3m (No. 221)
Unique sites:
Li 0.0000 0.0000 0.0000 x1  6 Pt 2.10
Mg 0.5000 0.5000 0.5000 x1  12 Pt 2.97
Pt 0.0000 0.0000 0.5000 x3  2 Li 2.10

Properties
**D(E_F)**: 4.56 states/eV/f.u.
**Formation enthalpy at 0 K**: 0.06 eV/atom
**Volume**: 14.9 A^3/atom